# 1
Cs3RbCd2Sn2: relaxed, PBE-GGA.

Cell: 7.3962 7.0401 7.4667 Å, 90.00 107.11 90.00°
Closest atoms and distances in Å follow each position.
Sites, in units of the cell vectors:
Cs1 0.0000 0.0000 0.0000  4 Sn 4.06-4.16, 1 Rb 4.06, 4 Cd 4.09-4.49, 4 Cs 4.39-4.41
Cs2 0.0437 0.5000 0.3654  3 Cs 4.06-4.41, 4 Sn 4.06-4.19, 4 Cd 4.09-4.52, 2 Rb 4.39
Cs3 0.7028 0.5000 0.7033  4 Sn 4.04-4.14, 3 Cs 4.06-4.39, 4 Cd 4.13-4.51, 2 Rb 4.37
Rb1 0.3416 0.0000 0.6623  4 Sn 3.97-4.16, 5 Cs 4.06-4.39, 2 Cd 4.10
Cd1 0.5221 0.2499 0.1805  2 Sn 2.82
Cd2 0.5221 0.7501 0.1805  2 Sn 2.82
Sn1 0.2720 0.5000 0.9328  2 Cd 2.82
Sn2 0.7649 0.0000 0.4358  2 Cd 2.82

Total DFT energy (no corrections) (eV per cell): -15.10

=====

# 2
CsRb3Cd2Sn2: relaxed, PBE-GGA.

Cell: 7.2413 6.8844 7.3193 Å, 90.00 105.98 90.00°
Closest atoms and distances in Å follow each position.
Sites, in units of the cell vectors:
Cs1 0.0000 0.0000 0.0000  4 Sn 3.95-4.07, 5 Rb 3.97-4.31, 4 Cd 4.06-4.36
Rb1 0.2964 0.5000 0.2960  4 Sn 3.91-4.03, 3 Rb 3.98-4.28, 2 Cd 4.06, 2 Cs 4.31
Rb2 0.6566 0.0000 0.3399  4 Sn 3.86-4.07, 1 Cs 3.97, 2 Cd 4.07, 4 Rb 4.28-4.31
Rb3 0.9516 0.5000 0.6350  4 Sn 3.96-4.10, 3 Rb 3.98-4.31, 4 Cd 4.03-4.39, 2 Cs 4.31
Cd1 0.4733 0.2501 0.8180  2 Sn 2.81
Cd2 0.4733 0.7499 0.8180  2 Sn 2.81
Sn1 0.2269 0.0000 0.5570  2 Cd 2.81
Sn2 0.7282 0.5000 0.0715  2 Cd 2.81

Total DFT energy (no corrections) (eV per cell): -15.26

=====

# 3
CsScCdS3: relaxed, PBE-GGA.

Cell: 8.9562 8.9562 8.9800 Å, 100.15 100.15 25.43°
Closest atoms and distances in Å follow each position.
Sites, in units of the cell vectors:
Cs1 0.1542 0.1542 0.0600  7 S 3.30-3.45
Cs2 0.8458 0.8458 0.9400  7 S 3.30-3.45
Sc1 0.1741 0.1741 0.5686  5 S 2.56-2.62
Sc2 0.8259 0.8259 0.4314  5 S 2.56-2.62
Cd1 0.4890 0.4890 0.2810  4 S 2.57-2.77
Cd2 0.5110 0.5110 0.7190  4 S 2.57-2.77
S1 0.0000 0.0000 0.5000  4 Cd 2.77, 2 Sc 2.99
S2 0.3232 0.3232 0.6220  3 Sc 2.56-2.62
S3 0.3395 0.3395 0.2533  2 Sc 2.58, 1 Cd 2.58
S4 0.5000 0.5000 0.0000  2 Cd 2.57
S5 0.6605 0.6605 0.7467  2 Sc 2.58, 1 Cd 2.58
S6 0.6768 0.6768 0.3780  3 Sc 2.56-2.62

Total DFT energy (no corrections) (eV per cell): -55.72
Magnetization (μB/cell): 0.00

=====

# 4
CsScCdS3: relaxed, PBE-GGA.

Cell: 8.8391 3.9998 10.2928 Å, 90.00 112.76 90.00°
Closest atoms and distances in Å follow each position.
Sites, in units of the cell vectors:
Cs1 0.2395 0.2500 0.2523  7 S 3.46-3.80
Cs2 0.7605 0.7500 0.7477  7 S 3.46-3.80
Sc1 0.3332 0.7500 0.8774  5 S 2.48-2.67
Sc2 0.6668 0.2500 0.1226  5 S 2.48-2.67
Cd1 0.0854 0.2500 0.6194  4 S 2.48-2.69
Cd2 0.9146 0.7500 0.3806  4 S 2.48-2.69
S1 0.1313 0.2500 0.8729  1 Cd 2.48, 2 Sc 2.67
S2 0.2297 0.7500 0.5634  3 Cd 2.56-2.69
S3 0.4811 0.7500 0.1366  3 Sc 2.48-2.63
S4 0.5189 0.2500 0.8634  3 Sc 2.48-2.63
S5 0.7703 0.2500 0.4366  3 Cd 2.56-2.69
S6 0.8687 0.7500 0.1271  1 Cd 2.48, 2 Sc 2.67

Total DFT energy (no corrections) (eV per cell): -56.72
Magnetization (μB/cell): 0.00

=====

# 5
CsSmCdS3: relaxed, PBE-GGA.

Cell: 9.0072 9.0072 9.2487 Å, 102.10 102.10 27.16°
Closest atoms and distances in Å follow each position.
Sites, in units of the cell vectors:
Cs1 0.1505 0.1505 0.0599  7 S 3.33-3.53
Cs2 0.8495 0.8495 0.9401  7 S 3.33-3.53
Sm1 0.1668 0.1668 0.5757  6 S 2.77-2.85
Sm2 0.8332 0.8332 0.4243  6 S 2.77-2.85
Cd1 0.4986 0.4986 0.2801  3 S 2.60-2.89
Cd2 0.5014 0.5014 0.7199  3 S 2.60-2.89
S1 0.0000 0.0000 0.5000  2 Sm 2.85, 4 Cd 2.93
S2 0.3330 0.3330 0.6296  3 Sm 2.84-2.85, 1 Cd 2.89
S3 0.3454 0.3454 0.2378  1 Cd 2.63, 2 Sm 2.77
S4 0.5000 0.5000 0.0000  2 Cd 2.60
S5 0.6546 0.6546 0.7622  1 Cd 2.63, 2 Sm 2.77
S6 0.6670 0.6670 0.3704  3 Sm 2.84-2.85, 1 Cd 2.89

Total DFT energy (no corrections) (eV per cell): -53.47
Magnetization (μB/cell): 0.01

=====

# 6
CsSmCdS3: relaxed, PBE-GGA.

Cell: 9.1440 4.2363 10.3906 Å, 90.00 110.09 90.00°
Closest atoms and distances in Å follow each position.
Sites, in units of the cell vectors:
Cs1 0.2307 0.2500 0.2490  7 S 3.52-3.87
Cs2 0.7693 0.7500 0.7510  7 S 3.52-3.87
Sm1 0.3264 0.7500 0.8686  5 S 2.72-2.85
Sm2 0.6736 0.2500 0.1314  5 S 2.72-2.85
Cd1 0.0847 0.2500 0.6149  4 S 2.50-2.67
Cd2 0.9153 0.7500 0.3851  4 S 2.50-2.67
S1 0.1155 0.2500 0.8635  1 Cd 2.50
S2 0.2104 0.7500 0.5543  3 Cd 2.59-2.67
S3 0.4763 0.7500 0.1446  3 Sm 2.72-2.82
S4 0.5237 0.2500 0.8554  3 Sm 2.72-2.82
S5 0.7896 0.2500 0.4457  3 Cd 2.59-2.67
S6 0.8845 0.7500 0.1365  1 Cd 2.50

Total DFT energy (no corrections) (eV per cell): -54.59
Magnetization (μB/cell): 0.00